The following is a DFT calculation (GGA-PBE) of a geometry-optimized HoAlPbO4 structure.

Lattice parameters (Å, degrees): 5.833 5.696 6.993 90.00 102.94 90.00
Atoms (fractional coordinates):
Ho (0.808, 0.750, 0.430)
Ho (0.192, 0.250, 0.570)
Al (0.286, 0.750, 0.344)
Al (0.714, 0.250, 0.656)
Pb (0.701, 0.750, 0.882)
Pb (0.299, 0.250, 0.118)
O (0.919, 0.486, 0.676)
O (0.081, 0.986, 0.324)
O (0.081, 0.514, 0.324)
O (0.919, 0.014, 0.676)
O (0.481, 0.750, 0.185)
O (0.519, 0.250, 0.815)
O (0.477, 0.750, 0.579)
O (0.523, 0.250, 0.421)

Values from the calculation:
- Energy relative to the elements, uncorrected: -2555 meV per atom